## 1
A plane-wave DFT calculation with SCAN was carried out for a crystal of BaCaW2 relaxed with PBEsol.

The structure in POSCAR format:
```
BaCaW2
1.0
2.8549 0.0330 0.0000
-0.0982 2.8534 0.0000
0.0000 0.0000 10.8872
W Ba Ca
2 1 1
direct
0.0000 0.0000 0.7658
0.0000 0.0000 0.2342
0.5000 0.5000 0.5000
0.5000 0.5000 0.0000
```

---

## 2
A plane-wave DFT calculation with SCAN was carried out for a crystal of BaCaW2 relaxed with PBEsol.

The structure in POSCAR format:
```
BaCaW2
1.0
-1.0217 -2.7770 -2.0291
4.0417 -1.6983 0.2893
-1.4718 -2.7381 4.4885
Ca W Ba
1 2 1
direct
0.0000 0.5000 0.5000
0.0000 0.0000 0.0000
0.5000 0.5000 0.0000
0.5000 0.0000 0.5000
```

---

Which of them is least stable? Easy: 2.

---

## 1
A plane-wave DFT calculation with SCAN was carried out for a crystal of BaCaY2 relaxed with PBEsol.

The structure in POSCAR format:
```
BaCaY2
1.0
4.1656 0.0000 0.0000
0.0000 5.9504 0.0000
0.0000 0.0000 5.9504
Y Ba Ca
2 1 1
direct
0.0000 0.0000 0.5000
0.0000 0.5000 0.0000
0.5000 0.5000 0.5000
0.5000 0.0000 0.0000
```

---

## 2
A plane-wave DFT calculation with SCAN was carried out for a crystal of BaCaY2 relaxed with PBEsol.

The structure in POSCAR format:
```
BaCaY2
1.0
-2.3811 1.4815 -2.9389
-1.6161 -5.5778 -1.5024
-4.6276 0.2914 3.8961
Ca Y Ba
1 2 1
direct
0.0000 0.5000 0.5000
0.0000 0.0000 0.0000
0.5000 0.5000 0.0000
0.5000 0.0000 0.5000
```

---

Which of them is least stable? Easy: 1.

---

## 1
A plane-wave DFT calculation with SCAN was carried out for a crystal of BaCa2Zn2 relaxed with PBEsol.

The structure in POSCAR format:
```
BaCa2Zn2
1.0
4.4334 0.0000 0.0000
0.0000 8.2680 0.0000
0.0000 0.0000 8.2680
Ba Zn Ca
2 4 4
direct
0.0000 0.5000 0.5000
0.0000 0.0000 0.0000
0.0000 0.6120 0.1120
0.0000 0.3880 0.8880
0.0000 0.8880 0.6120
0.0000 0.1120 0.3880
0.5000 0.3363 0.1637
0.5000 0.1637 0.6637
0.5000 0.8363 0.3363
0.5000 0.6637 0.8363
```

---

## 2
A plane-wave DFT calculation with SCAN was carried out for a crystal of BaCa2Zn2 relaxed with PBEsol.

The structure in POSCAR format:
```
BaCa2Zn2
1.0
-2.7071 4.2466 1.2118
-0.1339 -1.4996 4.9562
6.4047 1.5159 -2.0750
Zn Ba Ca
2 1 2
direct
0.6030 0.6030 0.2060
0.3970 0.3970 0.7940
0.0000 0.0000 0.0000
0.7500 0.2500 0.5000
0.2500 0.7500 0.5000
```

---

Which of them is least stable? Easy: 2.